Record 1
# ZrSc2Cr

An optimized crystal structure of ZrSc2Cr (PBE-GGA, the Alexandria database).

Results
formation energy from the elements: 0.261 eV per atom
energy relative to the lowest polymorph listed for this composition: 107 meV per atom

abc: 3.154 4.397 6.111
angles: 90.00 90.00 90.00
Positions (direct):
Zr1 0.000 0.000 0.000
Sc1 0.500 0.500 0.258
Sc2 0.500 0.500 0.742
Cr1 0.000 0.000 0.500



Record 2
# AlZn4Ag2

An optimized crystal structure of AlZn4Ag2 (PBE-GGA, the Alexandria database).

Results
formation energy from the elements: 0.040 eV per atom
energy relative to the lowest polymorph listed for this composition: 0 meV per atom

abc: 16.475 16.475 16.475
angles: 9.95 9.95 9.95
Positions (direct):
Al1 0.000 0.000 0.000
Zn1 0.145 0.145 0.145
Zn2 0.288 0.288 0.288
Zn3 0.712 0.712 0.712
Zn4 0.855 0.855 0.855
Ag1 0.235 0.235 0.235
Ag2 0.765 0.765 0.765



Record 3
# NaSrSm2Te4

An optimized crystal structure of NaSrSm2Te4 (PBE-GGA, the Alexandria database).

Results
formation energy (no corrections): -1.44 eV/atom

abc: 7.774 4.503 8.076
angles: 90.00 108.75 90.00
Positions (direct):
Na1 0.000 0.000 0.000
Sr1 0.500 0.500 0.000
Sm1 0.000 0.500 0.500
Sm2 0.500 0.000 0.500
Te1 0.242 0.000 0.738
Te2 0.251 0.500 0.262
Te3 0.749 0.500 0.738
Te4 0.758 0.000 0.262



Record 4
# Pr6SnAu5

An optimized crystal structure of Pr6SnAu5 (PBE-GGA, the Alexandria database).

Results
formation energy from the elements: -0.728 eV per atom

abc: 5.293 7.607 8.422
angles: 90.00 108.35 90.00
Positions (direct):
Pr1 0.000 0.240 0.000
Pr2 0.000 0.760 0.000
Pr3 0.331 0.248 0.659
Pr4 0.331 0.752 0.659
Pr5 0.669 0.248 0.341
Pr6 0.669 0.752 0.341
Sn1 0.500 0.500 0.000
Au1 0.158 0.500 0.320
Au2 0.165 0.000 0.334
Au3 0.500 0.000 0.000
Au4 0.835 0.000 0.666
Au5 0.842 0.500 0.680



Record 5
# SiRuS3

An optimized crystal structure of SiRuS3 (PBE-GGA, the Alexandria database).

Results
formation energy (no corrections): 0.80 eV/atom
energy relative to the lowest polymorph listed for this composition: 170 meV per atom

abc: 4.383 4.383 4.383
angles: 90.00 90.00 90.00
Positions (direct):
Si1 0.000 0.000 0.000
Ru1 0.500 0.500 0.500
S1 0.000 0.000 0.500
S2 0.000 0.500 0.000
S3 0.500 0.000 0.000



Record 6
# VZnI2N

An optimized crystal structure of VZnI2N (PBE-GGA, the Alexandria database).

Results
formation energy (no corrections): 0.13 eV/atom
energy relative to the lowest polymorph listed for this composition: 0 meV per atom

abc: 5.562 5.562 3.687
angles: 90.00 90.00 90.00
Positions (direct):
V1 0.000 0.000 0.000
Zn1 0.500 0.500 0.500
I1 0.000 0.500 0.000
I2 0.500 0.000 0.000
N1 0.000 0.000 0.500



Record 7
# La5Pr3Th2

An optimized crystal structure of La5Pr3Th2 (PBE-GGA, the Alexandria database).

Results
formation energy from the elements: 0.174 eV per atom

abc: 9.236 9.236 10.338
angles: 109.77 109.77 104.01
Positions (direct):
La1 0.011 0.989 0.750
La2 0.123 0.376 0.753
La3 0.222 0.778 0.750
La4 0.376 0.123 0.253
La5 0.473 0.527 0.250
La6 0.527 0.473 0.750
La7 0.624 0.877 0.747
La8 0.778 0.222 0.250
La9 0.877 0.624 0.247
La10 0.989 0.011 0.250
Pr1 0.224 0.475 0.449
Pr2 0.263 0.737 0.250
Pr3 0.475 0.224 0.949
Pr4 0.525 0.776 0.051
Pr5 0.737 0.263 0.750
Pr6 0.776 0.525 0.551
Th1 0.032 0.280 0.063
Th2 0.280 0.032 0.563
Th3 0.720 0.968 0.437
Th4 0.968 0.720 0.937



Record 8
# Al5CuRu4

An optimized crystal structure of Al5CuRu4 (PBE-GGA, the Alexandria database).

Results
formation energy from the elements: -0.611 eV per atom

abc: 3.042 3.042 14.672
angles: 90.00 90.00 90.00
Positions (direct):
Al1 0.000 0.000 0.000
Al2 0.000 0.000 0.202
Al3 0.000 0.000 0.396
Al4 0.000 0.000 0.604
Al5 0.000 0.000 0.798
Cu1 0.500 0.500 0.500
Ru1 0.500 0.500 0.101
Ru2 0.500 0.500 0.307
Ru3 0.500 0.500 0.693
Ru4 0.500 0.500 0.899



Number 1: electronic total energy -7.447 eV per atom, mass density 4568 kg/m³. Number 2: electronic total energy -2.037 eV per atom, mass density 7231 kg/m³. Number 3: electronic total energy -4.569 eV per atom, mass density 5717 kg/m³. Number 4: electronic total energy -4.817 eV per atom, mass density 10055 kg/m³. Number 5: electronic total energy -4.620 eV per atom, mass density 4443 kg/m³. Number 6: electronic total energy -4.229 eV per atom, mass density 5593 kg/m³. Number 7: electronic total energy -5.208 eV per atom, mass density 7345 kg/m³. Number 8: electronic total energy -6.602 eV per atom, mass density 7371 kg/m³.